Entry a
DFT (PBE-GGA) results for a relaxed PmTm3Al8 crystal.

extended XYZ file:
```
12
Lattice="5.542 0.000 0.000 -2.771 4.800 0.000 0.000 0.000 9.090" Properties=species:S:1:pos:R:3 pbc="T T T"
Pm 0.000 0.000 0.000
Tm 0.000 0.000 3.317
Tm 2.771 1.600 4.531
Tm 2.771 1.600 7.843
Al 0.000 1.556 6.178
Al -1.424 4.022 6.178
Al 0.000 3.200 3.943
Al 0.000 3.200 8.459
Al 2.771 0.043 1.688
Al 1.423 2.378 1.688
Al 1.424 4.022 6.178
Al 4.119 2.378 1.688
```

Properties
- space group = P3m1, No. 156
- density of states at the Fermi level (states/eV/cell) = 5.8

Entry b
DFT (PBE-GGA) results for a relaxed PmTm3Al8 crystal.

extended XYZ file:
```
12
Lattice="2.770 1.599 9.101 -2.770 1.599 9.101 0.000 -3.199 9.101" Properties=species:S:1:pos:R:3 pbc="T T T"
Pm 0.000 0.000 0.000
Tm 0.000 0.000 10.259
Tm 0.000 0.000 13.636
Tm 0.000 0.000 23.881
Al 0.000 0.000 5.110
Al 0.000 -1.597 16.466
Al -1.383 0.799 16.466
Al -1.382 -0.798 21.069
Al 0.000 0.000 18.779
Al 1.383 0.799 16.466
Al 1.382 -0.798 21.069
Al 0.000 1.596 21.069
```

Properties
- space group = R3m, No. 160
- density of states at the Fermi level (states/eV/cell) = 9.8

Stability check: which of them is most stable? entry b.

Entry a
DFT (PBE-GGA) results for a relaxed Pm4TmAl crystal.

extended XYZ file:
```
6
Lattice="3.585 0.000 0.000 0.000 3.585 0.000 0.000 0.000 14.380" Properties=species:S:1:pos:R:3 pbc="T T T"
Pm 0.000 0.000 1.971
Pm 0.000 0.000 12.409
Pm 1.792 1.792 4.658
Pm 1.792 1.792 9.721
Tm 0.000 0.000 7.190
Al 1.792 1.792 0.000
```

Properties
- space group = P4/mmm, No. 123
- density of states at the Fermi level (states/eV/cell) = 6.6

Entry b
DFT (PBE-GGA) results for a relaxed Pm4TmAl crystal.

extended XYZ file:
```
12
Lattice="4.448 -7.036 0.000 4.448 7.036 0.000 -2.091 0.000 5.981" Properties=species:S:1:pos:R:3 pbc="T T T"
Pm 1.565 4.443 5.697
Pm 1.203 1.585 3.738
Pm 4.194 4.443 3.274
Pm 2.248 -1.585 0.748
Pm 4.557 1.585 5.232
Pm 2.611 -4.443 2.707
Pm 5.603 -1.585 2.242
Pm 5.240 -4.443 0.283
Tm 3.925 1.290 1.495
Tm 2.880 -1.290 4.485
Al 3.925 -7.034 1.495
Al 2.880 7.034 4.485
```

Properties
- space group = C2/c, No. 15
- density of states at the Fermi level (states/eV/cell) = 16.3

Stability check: which of them is most stable? entry a.

Entry a
DFT (PBE-GGA) results for a relaxed Pm3TmAl crystal.

extended XYZ file:
```
10
Lattice="8.003 0.000 0.000 -4.001 6.930 0.000 0.000 0.000 5.793" Properties=species:S:1:pos:R:3 pbc="T T T"
Pm 0.000 2.641 1.448
Pm -1.714 5.610 1.448
Pm 2.287 1.320 4.345
Pm 1.714 5.610 1.448
Pm 5.716 1.320 4.345
Pm 4.001 4.290 4.345
Tm 0.000 4.620 4.345
Tm 4.001 2.310 1.448
Al 0.000 0.000 0.000
Al 0.000 0.000 2.897
```

Properties
- space group = P6_3/mmc, No. 194
- density of states at the Fermi level (states/eV/cell) = 13.1

Entry b
DFT (PBE-GGA) results for a relaxed Pm3TmAl crystal.

extended XYZ file:
```
10
Lattice="6.566 -1.830 0.000 6.566 1.830 0.000 -1.217 0.000 12.467" Properties=species:S:1:pos:R:3 pbc="T T T"
Pm 0.254 0.000 2.437
Pm 1.324 0.000 5.566
Pm 4.743 0.000 0.278
Pm 7.172 0.000 12.190
Pm 10.591 0.000 6.901
Pm 11.661 0.000 10.030
Tm 1.967 0.000 9.305
Tm 9.948 0.000 3.163
Al 5.398 0.000 4.708
Al 6.517 0.000 7.760
```

Properties
- space group = C2/m, No. 12
- density of states at the Fermi level (states/eV/cell) = 13.0

Stability check: which of them is most stable? entry b.

Entry a
DFT (PBE-GGA) results for a relaxed PmTm3Al2 crystal.

extended XYZ file:
```
12
Lattice="7.854 -2.593 0.000 7.854 2.593 0.000 -4.315 0.000 7.781" Properties=species:S:1:pos:R:3 pbc="T T T"
Pm 1.294 0.000 1.401
Pm 10.100 0.000 6.380
Tm -2.120 0.000 5.570
Tm 4.863 0.000 0.083
Tm 4.003 0.000 3.638
Tm 7.390 0.000 4.143
Tm 6.530 0.000 7.698
Tm 13.514 0.000 2.211
Al 1.041 0.000 4.679
Al 3.883 0.000 6.543
Al 7.510 0.000 1.238
Al 10.353 0.000 3.102
```

Properties
- space group = C2/m, No. 12
- density of states at the Fermi level (states/eV/cell) = 11.6

Entry b
DFT (PBE-GGA) results for a relaxed PmTm3Al2 crystal.

extended XYZ file:
```
6
Lattice="3.515 0.000 0.000 0.000 3.515 0.000 0.000 0.000 12.539" Properties=species:S:1:pos:R:3 pbc="T T T"
Pm 0.000 0.000 0.000
Tm 1.758 1.758 2.591
Tm 1.758 1.758 6.269
Tm 1.758 1.758 9.948
Al 0.000 0.000 4.425
Al 0.000 0.000 8.114
```

Properties
- space group = P4/mmm, No. 123
- density of states at the Fermi level (states/eV/cell) = 5.2

Stability check: which of them is most stable? entry b.